[1]
An optimized crystal structure of Cu2ReSb. Source: Alexandria via LeMat-Bulk, functional PBE.

Structure (CIF):
```
data_Cu2ReSb
_chemical_formula_sum 'Cu4 Re2 Sb2'
_symmetry_space_group_name_H-M 'C 1 m 1'
_symmetry_Int_Tables_number 8
_symmetry_space_group_name_Hall 'C -2y'
_cell_length_a 9.1344
_cell_length_b 2.8455
_cell_length_c 4.8568
_cell_angle_alpha 90.00
_cell_angle_beta 100.33
_cell_angle_gamma 90.00
loop_
_atom_site_label
_atom_site_fract_x
_atom_site_fract_y
_atom_site_fract_z
Cu1 0.0000 0.0000 0.0000
Cu2 0.2423 0.5000 0.1964
Re1 0.2643 0.0000 0.7304
Sb1 0.0094 0.5000 0.4891
```

Output
- VASP energy (eV per cell) = -45.73

=====

[2]
An optimized crystal structure of Pm5Si2H. Source: Alexandria via LeMat-Bulk, functional PBE.

Structure (CIF):
```
data_Pm5Si2H
_chemical_formula_sum 'Pm20 Si8 H4'
_symmetry_space_group_name_H-M 'C m c m'
_symmetry_Int_Tables_number 63
_symmetry_space_group_name_Hall '-C 2c 2'
_cell_length_a 5.3457
_cell_length_b 9.5973
_cell_length_c 15.1147
_cell_angle_alpha 90.00
_cell_angle_beta 90.00
_cell_angle_gamma 90.00
loop_
_atom_site_label
_atom_site_fract_x
_atom_site_fract_y
_atom_site_fract_z
Pm1 0.0000 0.0878 0.1099
Pm2 0.0000 0.2503 0.7500
Pm3 0.0000 0.4120 0.1099
Si1 0.0000 0.2501 0.5611
H1 0.0000 0.2495 0.2500
```

Output
- VASP energy (eV per cell) = -162.75

=====

[3]
An optimized crystal structure of ThCuPt. Source: Alexandria via LeMat-Bulk, functional PBE.

Structure (CIF):
```
data_ThCuPt
_chemical_formula_sum 'Th2 Cu2 Pt2'
_symmetry_space_group_name_H-M 'I 4 m m'
_symmetry_Int_Tables_number 107
_symmetry_space_group_name_Hall 'I 4 -2'
_cell_length_a 3.7991
_cell_length_b 3.7991
_cell_length_c 8.7939
_cell_angle_alpha 90.00
_cell_angle_beta 90.00
_cell_angle_gamma 90.00
loop_
_atom_site_label
_atom_site_fract_x
_atom_site_fract_y
_atom_site_fract_z
Th1 0.0000 0.0000 0.0000
Cu1 0.0000 0.0000 0.6733
Pt1 0.0000 0.0000 0.3491
```

Output
- offset from the most stable computed form (meV/atom) = 184
- formation enthalpy at 0 K (kJ/mol of atoms) = -57.7

=====

[4]
An optimized crystal structure of BaAs2CBr. Source: Alexandria via LeMat-Bulk, functional PBE.

Structure (CIF):
```
data_BaAs2CBr
_chemical_formula_sum 'Ba1 As2 C1 Br1'
_symmetry_space_group_name_H-M 'P 4/m m m'
_symmetry_Int_Tables_number 123
_symmetry_space_group_name_Hall '-P 4 2'
_cell_length_a 4.3670
_cell_length_b 4.3670
_cell_length_c 6.6648
_cell_angle_alpha 90.00
_cell_angle_beta 90.00
_cell_angle_gamma 90.00
loop_
_atom_site_label
_atom_site_fract_x
_atom_site_fract_y
_atom_site_fract_z
Ba1 0.0000 0.0000 0.0000
As1 0.0000 0.5000 0.5000
C1 0.5000 0.5000 0.5000
Br1 0.5000 0.5000 0.0000
```

Output
- offset from the most stable computed form (meV/atom) = 0

=====

[5]
An optimized crystal structure of SiSbCl. Source: Alexandria via LeMat-Bulk, functional PBE.

Structure (CIF):
```
data_SiSbCl
_chemical_formula_sum 'Si1 Sb1 Cl1'
_symmetry_space_group_name_H-M 'P 3 m 1'
_symmetry_Int_Tables_number 156
_symmetry_space_group_name_Hall 'P 3 -2"'
_cell_length_a 4.8817
_cell_length_b 4.8817
_cell_length_c 3.0917
_cell_angle_alpha 90.00
_cell_angle_beta 90.00
_cell_angle_gamma 120.00
loop_
_atom_site_label
_atom_site_fract_x
_atom_site_fract_y
_atom_site_fract_z
Si1 0.0000 0.0000 0.0000
Sb1 0.6667 0.3333 0.0030
Cl1 0.3333 0.6667 0.5033
```

Output
- offset from the most stable computed form (meV/atom) = 372

=====

[6]
An optimized crystal structure of AgW. Source: Alexandria via LeMat-Bulk, functional PBE.

Structure (CIF):
```
data_AgW
_chemical_formula_sum 'Ag2 W2'
_symmetry_space_group_name_H-M 'P m m a'
_symmetry_Int_Tables_number 51
_symmetry_space_group_name_Hall '-P 2a 2a'
_cell_length_a 4.6503
_cell_length_b 2.7274
_cell_length_c 5.2747
_cell_angle_alpha 90.00
_cell_angle_beta 90.00
_cell_angle_gamma 90.00
loop_
_atom_site_label
_atom_site_fract_x
_atom_site_fract_y
_atom_site_fract_z
Ag1 0.2500 0.0000 0.1370
W1 0.2500 0.5000 0.6311
```

Output
- offset from the most stable computed form (meV/atom) = 342
- formation enthalpy at 0 K (kJ/mol of atoms) = 66.1

=====

[7]
An optimized crystal structure of PaTc2B6. Source: Alexandria via LeMat-Bulk, functional PBE.

Structure (CIF):
```
data_PaTc2B6
_chemical_formula_sum 'Pa2 Tc4 B12'
_symmetry_space_group_name_H-M 'I m m m'
_symmetry_Int_Tables_number 71
_symmetry_space_group_name_Hall '-I 2 2'
_cell_length_a 3.1504
_cell_length_b 6.6629
_cell_length_c 8.6155
_cell_angle_alpha 90.00
_cell_angle_beta 90.00
_cell_angle_gamma 90.00
loop_
_atom_site_label
_atom_site_fract_x
_atom_site_fract_y
_atom_site_fract_z
Pa1 0.0000 0.0000 0.0000
Tc1 0.0000 0.5000 0.1588
B1 0.0000 0.1581 0.5000
B2 0.0000 0.2457 0.3100
```

Output
- offset from the most stable computed form (meV/atom) = 0
- formation enthalpy at 0 K (kJ/mol of atoms) = -49.3

=====

[8]
An optimized crystal structure of LiAg2Os. Source: Alexandria via LeMat-Bulk, functional PBE.

Structure (CIF):
```
data_LiAg2Os
_chemical_formula_sum 'Li2 Ag4 Os2'
_symmetry_space_group_name_H-M 'C m m m'
_symmetry_Int_Tables_number 65
_symmetry_space_group_name_Hall '-C 2 2'
_cell_length_a 2.8034
_cell_length_b 4.6917
_cell_length_c 9.6901
_cell_angle_alpha 90.00
_cell_angle_beta 90.00
_cell_angle_gamma 90.00
loop_
_atom_site_label
_atom_site_fract_x
_atom_site_fract_y
_atom_site_fract_z
Li1 0.0000 0.0000 0.0000
Ag1 0.0000 0.5000 0.2385
Os1 0.0000 0.0000 0.5000
```

Output
- offset from the most stable computed form (meV/atom) = 71
- formation enthalpy at 0 K (kJ/mol of atoms) = 33.8

=====

Record order is preserved below.
V: 15.52 24.23 21.15 25.42 21.27 16.72 10.05 15.93 Å³/atom